{
  "formula": "Dy3ThIn",
  "functional": "PBE-GGA",
  "state": "relaxed",
  "polymorph_energy_mev_per_atom": 72.0,
  "m_tot_mub_per_cell": 0.00,
  "cell": [[5.517, 0.000, 0.000], [0.000, 9.570, 0.426], [0.000, -0.908, 11.564]],
  "species": ["Dy", "Dy", "Dy", "Dy", "Dy", "Dy", "Dy", "Dy", "Dy", "Dy", "Dy", "Dy", "Th", "Th", "Th", "Th", "In", "In", "In", "In"],
  "frac_coords": [[0.000, 0.896, 0.235], [0.000, 0.104, 0.765], [0.500, 0.104, 0.265], [0.500, 0.896, 0.735], [0.500, 0.764, 0.358], [0.500, 0.236, 0.642], [0.000, 0.236, 0.142], [0.000, 0.764, 0.858], [0.001, 0.466, 0.644], [0.999, 0.534, 0.356], [0.501, 0.534, 0.856], [0.499, 0.466, 0.144], [0.000, 0.833, 0.546], [0.000, 0.167, 0.454], [0.500, 0.167, 0.954], [0.500, 0.833, 0.046], [0.999, 0.614, 0.091], [0.001, 0.386, 0.909], [0.499, 0.386, 0.409], [0.501, 0.614, 0.591]]
}


{
  "formula": "DyTh3In12",
  "functional": "PBE-GGA",
  "state": "relaxed",
  "m_tot_mub_per_cell": 0.00,
  "cell": [[-2.165, -1.318, 3.988], [-1.829, -3.743, -2.230], [15.010, -10.186, 4.781]],
  "species": ["Dy", "Th", "Th", "Th", "In", "In", "In", "In", "In", "In", "In", "In", "In", "In", "In", "In"],
  "frac_coords": [[0.000, 0.000, 0.000], [0.000, 0.000, 0.247], [0.000, 0.000, 0.500], [0.000, 0.000, 0.753], [0.500, 0.500, 0.000], [0.500, 0.500, 0.248], [0.500, 0.500, 0.500], [0.500, 0.500, 0.752], [0.500, 0.000, 0.120], [0.500, 0.000, 0.373], [0.500, 0.000, 0.627], [0.500, 0.000, 0.880], [0.000, 0.500, 0.120], [0.000, 0.500, 0.373], [0.000, 0.500, 0.627], [0.000, 0.500, 0.880]]
}


{
  "formula": "DyTh2In",
  "functional": "PBE-GGA",
  "state": "relaxed",
  "polymorph_energy_mev_per_atom": 61.1,
  "m_tot_mub_per_cell": 0.00,
  "cell": [[-0.237, -3.264, 3.410], [4.686, -0.033, 0.294], [-0.310, 9.772, 6.048]],
  "species": ["Dy", "Dy", "Th", "Th", "Th", "Th", "In", "In"],
  "frac_coords": [[0.695, 0.750, 0.388], [0.305, 0.250, 0.612], [0.562, 0.250, 0.123], [0.438, 0.750, 0.877], [0.061, 0.750, 0.121], [0.939, 0.250, 0.879], [0.169, 0.250, 0.337], [0.831, 0.750, 0.663]]
}


Number 1: V 612.7 Å³/cell, uncorrected energy -0.1782 hartree per atom, formation energy -57 meV/atom. Number 2: V 418.8 Å³/cell, uncorrected energy -0.1506 hartree per atom, formation energy -365 meV/atom. Number 3: V 249.7 Å³/cell, uncorrected energy -0.2085 hartree per atom, formation energy -129 meV/atom.